1.
The following is a GGA-PBE calculation of a geometry-optimized Cs2NiAu structure, from Alexandria via LeMat-Bulk.

Values from the calculation:
Its density of states at the Fermi level is 8.82 states/eV/cell. The value obtained for the energy relative to the lowest polymorph listed for this composition is 0.0 meV per atom. The value obtained for the energy relative to the elements is 0.4230 eV per atom.

a = 6.1860 Å, b = 6.1860 Å, c = 6.1860 Å
α = 60.00°, β = 60.00°, γ = 60.00°
Closest atoms and distances in Å follow each position.
Atoms (fractional coordinates):
Cs 0.7500 0.7500 0.7500  4 Au 3.79, 4 Ni 3.79
Cs 0.2500 0.2500 0.2500  4 Au 3.79, 4 Ni 3.79
Ni 0.0000 0.0000 0.0000  8 Cs 3.79
Au 0.5000 0.5000 0.5000  8 Cs 3.79

=====

2.
The following is a GGA-PBE calculation of a geometry-optimized CsNi3Au structure, from Alexandria via LeMat-Bulk.

Values from the calculation:
Its density of states at the Fermi level is 7.87 states/eV/cell. The value obtained for the energy relative to the elements is 2.0058 eV per atom.

a = 4.7483 Å, b = 4.7483 Å, c = 4.7483 Å
α = 90.00°, β = 90.00°, γ = 90.00°
Closest atoms and distances in Å follow each position.
Atoms (fractional coordinates):
Cs 0.0000 0.0000 0.0000  6 Ni 2.37
Ni 0.0000 0.5000 0.0000  2 Cs 2.37
Ni 0.0000 0.0000 0.5000  2 Cs 2.37
Ni 0.5000 0.0000 0.0000  2 Cs 2.37
Au 0.5000 0.5000 0.5000  12 Ni 3.36